1.
# Nd4CdPtAu2 PBE-GGA relaxed
data_Nd4CdPtAu2
_chemical_formula_sum 'Nd12 Cd3 Pt3 Au6'
_cell_length_a 5.2645
_cell_length_b 5.2645
_cell_length_c 25.7726
_cell_angle_alpha 90.00
_cell_angle_beta 90.00
_cell_angle_gamma 120.00
_space_group_name_H-M_alt 'R -3 m'
_space_group_IT_number 166
_space_group_name_Hall '-R 3 2"'
loop_
_atom_site_label
_atom_site_fract_x
_atom_site_fract_y
_atom_site_fract_z
_atom_site_occupancy
Nd1 0.0000 0.0000 0.1168 1
Nd2 0.0000 0.0000 0.3686 1
Cd1 0.0000 0.0000 0.5000 1
Pt1 0.0000 0.0000 0.0000 1
Au1 0.0000 0.0000 0.2381 1
# * DFT formation energy: -0.738 eV/atom
# * crystal system: trigonal

2.
# NdCdRhAu PBE-GGA relaxed
data_NdCdRhAu
_chemical_formula_sum 'Nd4 Cd4 Rh4 Au4'
_cell_length_a 6.969
_cell_length_b 6.969
_cell_length_c 6.969
_cell_angle_alpha 90.00
_cell_angle_beta 90.00
_cell_angle_gamma 90.00
_space_group_name_H-M_alt 'F -4 3 m'
_space_group_IT_number 216
_space_group_name_Hall 'F -4 2 3'
loop_
_atom_site_label
_atom_site_fract_x
_atom_site_fract_y
_atom_site_fract_z
_atom_site_occupancy
Nd1 0.000 0.000 0.000 1
Cd1 0.000 0.000 0.500 1
Rh1 0.250 0.250 0.250 1
Au1 0.250 0.250 0.750 1
# * DFT formation energy: -0.469 eV/atom
# * crystal system: cubic

3.
# Nd4CdRhAu2 PBE-GGA relaxed
data_Nd4CdRhAu2
_chemical_formula_sum 'Nd12 Cd3 Rh3 Au6'
_cell_length_a 5.2669
_cell_length_b 5.2669
_cell_length_c 25.4493
_cell_angle_alpha 90.00
_cell_angle_beta 90.00
_cell_angle_gamma 120.00
_space_group_name_H-M_alt 'R -3 m'
_space_group_IT_number 166
_space_group_name_Hall '-R 3 2"'
loop_
_atom_site_label
_atom_site_fract_x
_atom_site_fract_y
_atom_site_fract_z
_atom_site_occupancy
Nd1 0.0000 0.0000 0.1151 1
Nd2 0.0000 0.0000 0.3673 1
Cd1 0.0000 0.0000 0.5000 1
Rh1 0.0000 0.0000 0.0000 1
Au1 0.0000 0.0000 0.2383 1
# * DFT formation energy: -0.632 eV/atom
# * crystal system: trigonal

4.
# NdSc2CdAu4 PBE-GGA relaxed
data_NdSc2CdAu4
_chemical_formula_sum 'Nd3 Sc6 Cd3 Au12'
_cell_length_a 4.7724
_cell_length_b 4.7724
_cell_length_c 26.2448
_cell_angle_alpha 90.00
_cell_angle_beta 90.00
_cell_angle_gamma 120.00
_space_group_name_H-M_alt 'R -3 m'
_space_group_IT_number 166
_space_group_name_Hall '-R 3 2"'
loop_
_atom_site_label
_atom_site_fract_x
_atom_site_fract_y
_atom_site_fract_z
_atom_site_occupancy
Nd1 0.0000 0.0000 0.0000 1
Sc1 0.0000 0.0000 0.2376 1
Cd1 0.0000 0.0000 0.5000 1
Au1 0.0000 0.0000 0.1209 1
Au2 0.0000 0.0000 0.3905 1
# * DFT formation energy: -0.662 eV/atom
# * crystal system: trigonal

5.
# NdScCd2Au4 PBE-GGA relaxed
data_NdScCd2Au4
_chemical_formula_sum 'Nd3 Sc3 Cd6 Au12'
_cell_length_a 4.8984
_cell_length_b 4.8984
_cell_length_c 24.2747
_cell_angle_alpha 90.00
_cell_angle_beta 90.00
_cell_angle_gamma 120.00
_space_group_name_H-M_alt 'R -3 m'
_space_group_IT_number 166
_space_group_name_Hall '-R 3 2"'
loop_
_atom_site_label
_atom_site_fract_x
_atom_site_fract_y
_atom_site_fract_z
_atom_site_occupancy
Nd1 0.0000 0.0000 0.0000 1
Sc1 0.0000 0.0000 0.5000 1
Cd1 0.0000 0.0000 0.2502 1
Au1 0.0000 0.0000 0.1313 1
Au2 0.0000 0.0000 0.3835 1
# * DFT formation energy: -0.613 eV/atom
# * crystal system: trigonal

6.
# NdScCdAu PBE-GGA relaxed
data_NdScCdAu
_chemical_formula_sum 'Nd4 Sc4 Cd4 Au4'
_cell_length_a 7.278
_cell_length_b 7.278
_cell_length_c 7.278
_cell_angle_alpha 90.00
_cell_angle_beta 90.00
_cell_angle_gamma 90.00
_space_group_name_H-M_alt 'F -4 3 m'
_space_group_IT_number 216
_space_group_name_Hall 'F -4 2 3'
loop_
_atom_site_label
_atom_site_fract_x
_atom_site_fract_y
_atom_site_fract_z
_atom_site_occupancy
Nd1 0.000 0.000 0.000 1
Sc1 0.000 0.000 0.500 1
Cd1 0.250 0.250 0.250 1
Au1 0.250 0.250 0.750 1
# * DFT formation energy: -0.474 eV/atom
# * crystal system: cubic

7.
# NdCdSi2Au5 PBE-GGA relaxed
data_NdCdSi2Au5
_chemical_formula_sum 'Nd1 Cd1 Si2 Au5'
_cell_length_a 4.592
_cell_length_b 4.592
_cell_length_c 9.674
_cell_angle_alpha 90.00
_cell_angle_beta 90.00
_cell_angle_gamma 90.00
_space_group_name_H-M_alt 'P 4/m m m'
_space_group_IT_number 123
_space_group_name_Hall '-P 4 2'
loop_
_atom_site_label
_atom_site_fract_x
_atom_site_fract_y
_atom_site_fract_z
_atom_site_occupancy
Nd1 0.000 0.000 0.000 1
Cd1 0.000 0.000 0.500 1
Si1 0.500 0.500 0.243 1
Au1 0.000 0.500 0.320 1
Au2 0.500 0.500 0.000 1
# * formation energy (no corrections): -1.9 eV/f.u.
# * crystal system: tetragonal

8.
# NdSmCdAu PBE-GGA relaxed
data_NdSmCdAu
_chemical_formula_sum 'Nd1 Sm1 Cd1 Au1'
_cell_length_a 3.763
_cell_length_b 3.763
_cell_length_c 7.525
_cell_angle_alpha 90.00
_cell_angle_beta 90.00
_cell_angle_gamma 90.00
_space_group_name_H-M_alt 'P 4 m m'
_space_group_IT_number 99
loop_
_space_group_symop_operation_xyz
'x,y,z'
'-y,x,z'
'-x,-y,z'
'y,-x,z'
'-x,y,z'
'y,x,z'
'x,-y,z'
'-y,-x,z'
loop_
_atom_site_label
_atom_site_fract_x
_atom_site_fract_y
_atom_site_fract_z
_atom_site_occupancy
Nd1 0.000 0.000 0.000 1
Sm1 0.000 0.000 0.527 1
Cd1 0.500 0.500 0.268 1
Au1 0.500 0.500 0.753 1
# * DFT formation energy: -0.547 eV/atom
# * E above lowest polymorph: 0.0 kJ per mole of atoms
# * crystal system: tetragonal

9.
# NdSmCdAu PBE-GGA relaxed
data_NdSmCdAu
_chemical_formula_sum 'Nd4 Sm4 Cd4 Au4'
_cell_length_a 7.522
_cell_length_b 7.522
_cell_length_c 7.522
_cell_angle_alpha 90.00
_cell_angle_beta 90.00
_cell_angle_gamma 90.00
_space_group_name_H-M_alt 'F -4 3 m'
_space_group_IT_number 216
_space_group_name_Hall 'F -4 2 3'
loop_
_atom_site_label
_atom_site_fract_x
_atom_site_fract_y
_atom_site_fract_z
_atom_site_occupancy
Nd1 0.000 0.000 0.000 1
Sm1 0.000 0.000 0.500 1
Cd1 0.250 0.250 0.750 1
Au1 0.250 0.250 0.250 1
# * DFT formation energy: -0.515 eV/atom
# * E above lowest polymorph: 3.1 kJ per mole of atoms
# * crystal system: cubic

10.
# NdCdSnAu PBE-GGA relaxed
data_NdCdSnAu
_chemical_formula_sum 'Nd4 Cd4 Sn4 Au4'
_cell_length_a 7.312
_cell_length_b 7.312
_cell_length_c 7.312
_cell_angle_alpha 90.00
_cell_angle_beta 90.00
_cell_angle_gamma 90.00
_space_group_name_H-M_alt 'F -4 3 m'
_space_group_IT_number 216
_space_group_name_Hall 'F -4 2 3'
loop_
_atom_site_label
_atom_site_fract_x
_atom_site_fract_y
_atom_site_fract_z
_atom_site_occupancy
Nd1 0.000 0.000 0.000 1
Cd1 0.000 0.000 0.500 1
Sn1 0.250 0.250 0.750 1
Au1 0.250 0.250 0.250 1
# * DFT formation energy: -0.481 eV/atom
# * crystal system: cubic

11.
# Tb2NdCdAu4 PBE-GGA relaxed
data_Tb2NdCdAu4
_chemical_formula_sum 'Tb6 Nd3 Cd3 Au12'
_cell_length_a 5.0693
_cell_length_b 5.0693
_cell_length_c 25.0502
_cell_angle_alpha 90.00
_cell_angle_beta 90.00
_cell_angle_gamma 120.00
_space_group_name_H-M_alt 'R -3 m'
_space_group_IT_number 166
_space_group_name_Hall '-R 3 2"'
loop_
_atom_site_label
_atom_site_fract_x
_atom_site_fract_y
_atom_site_fract_z
_atom_site_occupancy
Tb1 0.0000 0.0000 0.2414 1
Nd1 0.0000 0.0000 0.0000 1
Cd1 0.0000 0.0000 0.5000 1
Au1 0.0000 0.0000 0.1210 1
Au2 0.0000 0.0000 0.3734 1
# * DFT formation energy: -0.731 eV/atom
# * crystal system: trigonal

12.
# TbNdCdAu PBE-GGA relaxed
data_TbNdCdAu
_chemical_formula_sum 'Tb4 Nd4 Cd4 Au4'
_cell_length_a 7.466
_cell_length_b 7.466
_cell_length_c 7.466
_cell_angle_alpha 90.00
_cell_angle_beta 90.00
_cell_angle_gamma 90.00
_space_group_name_H-M_alt 'F -4 3 m'
_space_group_IT_number 216
_space_group_name_Hall 'F -4 2 3'
loop_
_atom_site_label
_atom_site_fract_x
_atom_site_fract_y
_atom_site_fract_z
_atom_site_occupancy
Tb1 0.000 0.000 0.000 1
Nd1 0.000 0.000 0.500 1
Cd1 0.250 0.250 0.750 1
Au1 0.250 0.250 0.250 1
# * DFT formation energy: -0.526 eV/atom
# * E above lowest polymorph: 3.5 kJ per mole of atoms
# * crystal system: cubic

Magnetization values (in μB per cell) by entry order: 0.000 0.000 0.000 0.000 0.000 0.000 0.000 0.002 0.009 0.000 0.000 0.000.